1.
# Ce8CoRu6 (PBE, optimized geometry)
data_Ce8CoRu6
_chemical_formula_sum 'Ce24 Co3 Ru18'
_space_group_name_H-M_alt 'R -3'
_space_group_IT_number 148
_space_group_name_Hall '-R 3'
_cell_length_a 10.2869
_cell_length_b 10.2869
_cell_length_c 11.6933
_cell_angle_alpha 90.00
_cell_angle_beta 90.00
_cell_angle_gamma 120.00
loop_
_atom_site_label
_atom_site_fract_x
_atom_site_fract_y
_atom_site_fract_z
_atom_site_occupancy
Ce1 0.0000 0.0000 0.1973 1
Ce2 0.0006 0.6525 0.2811 1
Co1 0.0000 0.0000 0.0000 1
Ru1 0.0127 0.1691 0.6002 1
# Total energy in eV per atom: -7.580
# V in A^3/atom: 23.81
# Total magnetization in μB per formula unit: 0.489


2.
# Ce2PdAu3 (PBE, optimized geometry)
data_Ce2PdAu3
_chemical_formula_sum 'Ce2 Pd1 Au3'
_space_group_name_H-M_alt 'P m m 2'
_space_group_IT_number 25
_space_group_name_Hall 'P 2 -2'
_cell_length_a 3.389
_cell_length_b 4.766
_cell_length_c 8.263
_cell_angle_alpha 90.00
_cell_angle_beta 90.00
_cell_angle_gamma 90.00
loop_
_atom_site_label
_atom_site_fract_x
_atom_site_fract_y
_atom_site_fract_z
_atom_site_occupancy
Ce1 0.000 0.000 0.000 1
Ce2 0.000 0.500 0.481 1
Pd1 0.500 0.000 0.321 1
Au1 0.500 0.000 0.652 1
Au2 0.500 0.500 0.158 1
Au3 0.500 0.500 0.822 1
# Total energy in eV per atom: -5.156
# V in A^3/atom: 22.24
# Total magnetization in μB per formula unit: 1.685


3.
# TcBO3 (PBE, optimized geometry)
data_TcBO3
_chemical_formula_sum 'Tc1 B1 O3'
_space_group_name_H-M_alt 'P m -3 m'
_space_group_IT_number 221
_space_group_name_Hall '-P 4 2 3'
_cell_length_a 3.826
_cell_length_b 3.826
_cell_length_c 3.826
_cell_angle_alpha 90.00
_cell_angle_beta 90.00
_cell_angle_gamma 90.00
loop_
_atom_site_label
_atom_site_fract_x
_atom_site_fract_y
_atom_site_fract_z
_atom_site_occupancy
Tc1 0.000 0.000 0.000 1
B1 0.500 0.500 0.500 1
O1 0.000 0.000 0.500 1
# Formation energy (no corrections) in eV per atom: -0.113
# Total energy in eV per atom: -6.497
# V in A^3/atom: 11.20
# Total magnetization in μB per formula unit: 0.000